Density functional theory data (PBE) for an optimized crystal structure of Cu3Pd2Au8.

Lattice parameters (Å, degrees): 4.028 8.183 8.337 119.92 90.00 90.00
Atoms (fractional coordinates):
Pd1 0.500 0.749 0.492
Pd2 0.500 0.251 0.508
Au1 0.000 0.126 0.253
Au2 0.000 0.611 0.221
Au3 0.500 0.374 0.246
Au4 0.500 0.134 0.761
Au5 0.500 0.626 0.754
Au6 0.500 0.866 0.239
Au7 0.000 0.389 0.779
Au8 0.000 0.874 0.747
Cu1 0.000 0.240 0.002
Cu2 0.500 0.000 0.000
Cu3 0.000 0.760 0.998

Symmetry: No. 10
Spin magnetization in μB per formula unit: 0.0
E_form in kJ/mol of atoms: 8
Crystal system: monoclinic